Material: CaOsN2
Method: DFT, PBE
State: relaxed

```
data_CaOsN2
_cell_length_a 3.915
_cell_length_b 3.915
_cell_length_c 3.915
_cell_angle_alpha 60.00
_cell_angle_beta 60.00
_cell_angle_gamma 60.00
_symmetry_space_group_name_H-M 'P 1'
_symmetry_Int_Tables_number 1
loop_
_symmetry_equiv_pos_as_xyz
'x,y,z'
loop_
_atom_site_label
_atom_site_type_symbol
_atom_site_fract_x
_atom_site_fract_y
_atom_site_fract_z
_atom_site_occupancy
Ca1 Ca 0.000 0.000 0.000 1
Os1 Os 0.500 0.500 0.500 1
N1 N 0.250 0.250 0.250 1
N2 N 0.750 0.750 0.750 1
```

Values from the calculation:
SG: Fm-3m (225)
Raw formation energy in kcal/mol of atoms: 12.47
E in Ry/atom: -0.509
Energy above the most stable polymorph in this dataset in kJ per mole of atoms: 71.4
DOS at the Fermi energy in states/eV/cell: 0.00